Compound: Pr3PtBr
Source: the Alexandria database
Functional: PBE
Structure: relaxed

Calculated values
uncorrected formation energy: -4.10 eV per formula unit
V: 32.22 A^3/atom

```
Pr3PtBr
1.0
3.918 0.000 0.000
0.000 9.957 0.000
0.000 0.000 8.258
Pr Br Pt
6 2 2
direct
0.750 0.750 0.258
0.250 0.070 0.172
0.250 0.430 0.172
0.750 0.930 0.828
0.750 0.570 0.828
0.250 0.250 0.742
0.250 0.750 0.564
0.750 0.250 0.436
0.250 0.750 0.005
0.750 0.250 0.995
```